Record 1
# Tl2CrIn

Crystalline Tl2CrIn at its relaxed geometry (PBE-GGA, Alexandria).

Structure (POSCAR):
```
Tl2CrIn
1.0
4.7012 0.0000 0.0000
0.0000 4.7012 0.0000
0.0000 0.0000 4.5044
Tl Cr In
2 1 1
Cartesian
0.0000 2.3506 0.0000
2.3506 0.0000 0.0000
0.0000 0.0000 2.2522
2.3506 2.3506 2.2522
```

E_form: 413 meV/atom
Symmetry: No. 123

Record 2
# NaCaAl4

Crystalline NaCaAl4 at its relaxed geometry (PBE-GGA, Alexandria).

Structure (POSCAR):
```
NaCaAl4
1.0
0.0000 3.9999 3.9999
3.9999 0.0000 3.9999
3.9999 3.9999 0.0000
Na Ca Al
1 1 4
Cartesian
0.0000 0.0000 0.0000
5.9998 5.9998 5.9998
3.0010 3.0010 3.0010
4.9988 4.9988 3.0010
4.9988 3.0010 4.9988
3.0010 4.9988 4.9988
```

E_form: -153 meV/atom
Symmetry: No. 216

Record 3
# Mn2NiHg

Crystalline Mn2NiHg at its relaxed geometry (PBE-GGA, Alexandria).

Structure (POSCAR):
```
Mn2NiHg
1.0
1.4358 0.8289 8.6909
-1.4358 0.8289 8.6909
0.0000 -1.6579 8.6909
Mn Ni Hg
2 1 1
Cartesian
0.0000 0.0000 0.0000
0.0000 0.0000 6.5691
0.0000 0.0000 13.3752
0.0000 0.0000 19.8105
```

E_form: 387 meV/atom
Symmetry: No. 160

Record 4
# NdEuIr

Crystalline NdEuIr at its relaxed geometry (PBE-GGA, Alexandria).

Structure (POSCAR):
```
NdEuIr
1.0
4.2002 0.0000 0.0000
-2.1001 3.6375 0.0000
0.0000 0.0000 6.4198
Nd Eu Ir
1 1 1
Cartesian
0.0000 0.0000 0.0000
0.0000 2.4250 3.0310
2.1001 1.2125 1.4288
```

E_form: -388 meV/atom
Symmetry: No. 156

Record 5
# TiBeMo3

Crystalline TiBeMo3 at its relaxed geometry (PBE-GGA, Alexandria).

Structure (POSCAR):
```
TiBeMo3
1.0
4.2719 0.0000 0.0000
0.0000 4.2719 0.0000
0.0000 0.0000 4.2719
Ti Be Mo
1 1 3
Cartesian
0.0000 0.0000 0.0000
2.1360 2.1360 2.1360
0.0000 2.1360 2.1360
2.1360 0.0000 2.1360
2.1360 2.1360 0.0000
```

E_form: 623 meV/atom
Symmetry: No. 221

Record 6
# LiZn2F4

Crystalline LiZn2F4 at its relaxed geometry (PBE-GGA, Alexandria).

Structure (POSCAR):
```
LiZn2F4
1.0
-2.0415 2.0415 5.1093
2.0415 -2.0415 5.1093
2.0415 2.0415 -5.1093
Li Zn F
1 2 4
Cartesian
0.0000 0.0000 0.0000
0.0000 0.0000 3.8724
0.0000 0.0000 6.3462
2.0415 0.0000 0.0000
0.0000 0.0000 1.9937
0.0000 2.0415 0.0000
0.0000 0.0000 8.2249
```

Electronic total energy: -0.137 hartree per atom
Symmetry: No. 139

Record 7
# Ca2PaNbO8

Crystalline Ca2PaNbO8 at its relaxed geometry (PBE-GGA, Alexandria).

Structure (POSCAR):
```
Ca2PaNbO8
1.0
3.5721 -3.7125 0.0000
3.5721 3.7125 0.0000
0.0000 0.0000 6.8509
Ca Pa Nb O
2 1 1 8
Cartesian
0.0000 0.0000 1.6613
0.0000 0.0000 5.1896
3.5721 0.0000 3.4254
3.5721 0.0000 0.0000
1.5555 0.0000 3.4254
1.6046 0.0000 0.0000
3.5721 1.3230 1.5616
3.5721 1.3230 5.2893
3.5721 -1.3230 1.5616
3.5721 -1.3230 5.2893
5.5397 0.0000 0.0000
5.5887 0.0000 3.4254
```

Electronic total energy: -0.293 hartree per atom
Symmetry: No. 65